1.
{
  "formula": "LiY2Hg",
  "functional": "PBE",
  "state": "relaxed",
  "lattice_angstrom": [[5.1631, 0.0000, 0.0000], [0.0000, 5.1631, 0.0000], [0.0000, 0.0000, 3.8033]],
  "species": ["Li", "Y", "Y", "Hg"],
  "frac_coords": [[0.0000, 0.0000, 0.0000], [0.0000, 0.5000, 0.5000], [0.5000, 0.0000, 0.5000], [0.5000, 0.5000, 0.0000]],
  "sg": "No. 123"
}

=====

2.
{
  "formula": "LiY2Hg",
  "functional": "PBE",
  "state": "relaxed",
  "lattice_angstrom": [[-4.1730, 4.1730, 3.1739], [4.1730, -4.1730, 3.1739], [4.1730, 4.1730, -3.1739]],
  "species": ["Li", "Li", "Y", "Y", "Y", "Y", "Hg", "Hg"],
  "frac_coords": [[0.0000, 0.0000, 0.0000], [0.7500, 0.2500, 0.5000], [0.1401, 0.6250, 0.0151], [0.3750, 0.3901, 0.5151], [0.6099, 0.1250, 0.9849], [0.8750, 0.8599, 0.4849], [0.2500, 0.7500, 0.5000], [0.5000, 0.5000, 0.0000]],
  "sg": "No. 122"
}

=====

3.
{
  "formula": "LiYHg",
  "functional": "PBE",
  "state": "relaxed",
  "lattice_angstrom": [[7.1626, 0.0000, 0.0000], [-3.5813, 6.2030, 0.0000], [0.0000, 0.0000, 4.7383]],
  "species": ["Li", "Li", "Li", "Y", "Y", "Y", "Hg", "Hg", "Hg"],
  "frac_coords": [[0.0000, 0.7665, 0.0000], [0.2335, 0.2335, 0.0000], [0.7665, 0.0000, 0.0000], [0.0000, 0.4257, 0.5000], [0.4257, 0.0000, 0.5000], [0.5743, 0.5743, 0.5000], [0.0000, 0.0000, 0.5000], [0.3333, 0.6667, 0.0000], [0.6667, 0.3333, 0.0000]],
  "sg": "No. 189"
}

=====

4.
{
  "formula": "Li3Y2Hg3",
  "functional": "PBE",
  "state": "relaxed",
  "lattice_angstrom": [[8.4583, 0.0000, 0.0000], [-4.2291, 7.3251, 0.0000], [0.0000, 0.0000, 6.5732]],
  "species": ["Li", "Li", "Li", "Li", "Li", "Li", "Y", "Y", "Y", "Y", "Hg", "Hg", "Hg", "Hg", "Hg", "Hg"],
  "frac_coords": [[0.0000, 0.2646, 0.2500], [0.0000, 0.7354, 0.7500], [0.2646, 0.0000, 0.2500], [0.2646, 0.2646, 0.7500], [0.7354, 0.0000, 0.7500], [0.7354, 0.7354, 0.2500], [0.3333, 0.6667, 0.0000], [0.3333, 0.6667, 0.5000], [0.6667, 0.3333, 0.0000], [0.6667, 0.3333, 0.5000], [0.0000, 0.3731, 0.7500], [0.0000, 0.6269, 0.2500], [0.3731, 0.0000, 0.7500], [0.3731, 0.3731, 0.2500], [0.6269, 0.0000, 0.2500], [0.6269, 0.6269, 0.7500]],
  "sg": "No. 193"
}

=====

5.
{
  "formula": "LiYHg2",
  "functional": "PBE",
  "state": "relaxed",
  "lattice_angstrom": [[1.9213, 1.1093, 7.6692], [-1.9213, 1.1093, 7.6692], [0.0000, -2.2185, 7.6692]],
  "species": ["Li", "Y", "Hg", "Hg"],
  "frac_coords": [[0.0000, 0.0000, 0.0000], [0.1692, 0.1692, 0.1692], [0.5973, 0.5973, 0.5973], [0.7397, 0.7397, 0.7397]],
  "sg": "No. 160"
}

=====

6.
{
  "formula": "LiY2Hg8",
  "functional": "PBE",
  "state": "relaxed",
  "lattice_angstrom": [[8.2163, -2.4961, 0.0000], [8.2163, 2.4961, 0.0000], [-2.7769, 0.0000, 6.3458]],
  "species": ["Li", "Y", "Y", "Hg", "Hg", "Hg", "Hg", "Hg", "Hg", "Hg", "Hg"],
  "frac_coords": [[0.0000, 0.0000, 0.0000], [0.3010, 0.3010, 0.3104], [0.6990, 0.6990, 0.6896], [0.1248, 0.1248, 0.4062], [0.1362, 0.1362, 0.8654], [0.3333, 0.3333, 0.8285], [0.4961, 0.4961, 0.2764], [0.5039, 0.5039, 0.7236], [0.6667, 0.6667, 0.1715], [0.8638, 0.8638, 0.1346], [0.8752, 0.8752, 0.5938]],
  "sg": "No. 12"
}

=====

Here are the calculated DFT total energy numbers, same order: -16.19; -29.69; -29.42; -43.60; -10.13; -20.44 (eV for the cell shown).